! TlHg2 (PBE, relaxed); values from VASP
&SYSTEM
  ibrav = 0, nat = 3, ntyp = 2
/
ATOMIC_SPECIES
Hg 200.59 Hg.upf
Tl 204.38 Tl.upf
CELL_PARAMETERS angstrom
-0.139 5.171 -0.351
-4.115 -2.588 1.804
1.228 0.247 3.156
ATOMIC_POSITIONS crystal
Hg 0.333 0.667 0.500
Tl 0.000 0.000 0.000
Hg 0.667 0.333 0.500
! **Energy above the lowest structure with this stoichiometry**: 0.0 meV per atom
! **SG**: P6/mmm, No. 191

---

! TlHg7 (PBE, relaxed); values from VASP
&SYSTEM
  ibrav = 0, nat = 8, ntyp = 2
/
ATOMIC_SPECIES
Hg 200.59 Hg.upf
Tl 204.38 Tl.upf
CELL_PARAMETERS angstrom
0.000 4.830 4.830
4.830 0.000 4.830
4.830 4.830 0.000
ATOMIC_POSITIONS crystal
Hg 0.000 0.000 0.500
Hg 0.500 0.000 0.000
Hg 0.500 0.000 0.500
Tl 0.000 0.000 0.000
Hg 0.500 0.500 0.000
Hg 0.000 0.500 0.000
Hg 0.500 0.500 0.500
Hg 0.000 0.500 0.500
! **Electronic total energy**: -0.577 eV per atom
! **SG**: Fm-3m, No. 225

---

! Tl2Hg7 (PBE, relaxed); values from VASP
&SYSTEM
  ibrav = 0, nat = 9, ntyp = 2
/
ATOMIC_SPECIES
Tl 204.38 Tl.upf
Hg 200.59 Hg.upf
CELL_PARAMETERS angstrom
6.800 0.000 0.000
-3.400 5.889 0.000
0.000 0.000 6.386
ATOMIC_POSITIONS crystal
Tl 0.667 0.333 0.655
Hg 0.182 0.364 0.824
Tl 0.333 0.667 0.345
Hg 0.636 0.818 0.824
Hg 0.182 0.818 0.824
Hg 0.000 0.000 0.500
Hg 0.818 0.636 0.176
Hg 0.818 0.182 0.176
Hg 0.364 0.182 0.176
! **Electronic total energy**: -0.739 eV per atom
! **SG**: P-3m1, No. 164

---

! Tm5Tl3Hg (PBE, relaxed); values from VASP
&SYSTEM
  ibrav = 0, nat = 18, ntyp = 3
/
ATOMIC_SPECIES
Tm 168.93 Tm.upf
Tl 204.38 Tl.upf
Hg 200.59 Hg.upf
CELL_PARAMETERS angstrom
-6.904 -5.898 -0.436
6.418 -0.031 -6.438
3.554 -4.424 3.565
ATOMIC_POSITIONS crystal
Tm 0.333 0.667 0.500
Tm 0.667 0.333 0.500
Tl 0.620 0.000 0.750
Tl 0.620 0.620 0.250
Tm 0.333 0.667 0.000
Tl 0.380 0.380 0.750
Tm 0.000 0.281 0.750
Tm 0.281 0.000 0.750
Tm 0.667 0.333 0.000
Tm 0.281 0.281 0.250
Hg 0.000 0.000 0.000
Tl 0.000 0.620 0.750
Tl 0.380 0.000 0.250
Tm 0.719 0.000 0.250
Tm 0.000 0.719 0.250
Hg 0.000 0.000 0.500
Tl 0.000 0.380 0.250
Tm 0.719 0.719 0.750
! **Electronic total energy**: -3.659 eV per atom
! **SG**: P6_3/mcm, No. 193
! **Spin magnetization**: 0.01 μB per cell

---

! Tm3Tl2Hg (PBE, relaxed); values from VASP
&SYSTEM
  ibrav = 0, nat = 6, ntyp = 3
/
ATOMIC_SPECIES
Tm 168.93 Tm.upf
Tl 204.38 Tl.upf
Hg 200.59 Hg.upf
CELL_PARAMETERS angstrom
3.676 0.000 0.000
0.000 3.676 0.000
0.000 0.000 11.415
ATOMIC_POSITIONS crystal
Tm 0.500 0.500 0.000
Tm 0.500 0.500 0.343
Tl 0.000 0.000 0.172
Tl 0.000 0.000 0.828
Tm 0.500 0.500 0.657
Hg 0.000 0.000 0.500
! **Electronic total energy**: -3.428 eV per atom
! **SG**: P4/mmm, No. 123
! **Spin magnetization**: 0.03 μB per cell

---

! TlHgW (PBE, relaxed); values from VASP
&SYSTEM
  ibrav = 0, nat = 3, ntyp = 3
/
ATOMIC_SPECIES
Hg 200.59 Hg.upf
Tl 204.38 Tl.upf
W 183.84 W.upf
CELL_PARAMETERS angstrom
2.361 -4.010 -0.645
0.902 -2.809 3.656
-2.218 -4.122 0.398
ATOMIC_POSITIONS crystal
Hg 0.250 0.250 0.250
Tl 0.750 0.750 0.750
W 0.000 0.000 0.000
! **Energy above the lowest structure with this stoichiometry**: 0.0 meV per atom
! **SG**: F-43m, No. 216
! **Spin magnetization**: 2.07 μB per cell

---

! TlHgW (PBE, relaxed); values from VASP
&SYSTEM
  ibrav = 0, nat = 3, ntyp = 3
/
ATOMIC_SPECIES
W 183.84 W.upf
Hg 200.59 Hg.upf
Tl 204.38 Tl.upf
CELL_PARAMETERS angstrom
1.273 -3.950 2.215
-2.524 -3.929 -0.561
1.771 -3.604 -2.450
ATOMIC_POSITIONS crystal
W 0.750 0.750 0.750
Hg 0.000 0.000 0.000
Tl 0.250 0.250 0.250
! **Energy above the lowest structure with this stoichiometry**: 242.3 meV per atom
! **SG**: F-43m, No. 216
! **Spin magnetization**: 2.95 μB per cell

---

! YTlHg (PBE, relaxed); values from VASP
&SYSTEM
  ibrav = 0, nat = 3, ntyp = 3
/
ATOMIC_SPECIES
Tl 204.38 Tl.upf
Y 88.91 Y.upf
Hg 200.59 Hg.upf
CELL_PARAMETERS angstrom
-4.684 -1.475 -0.092
-3.608 3.225 0.840
-2.945 1.402 -3.672
ATOMIC_POSITIONS crystal
Tl 0.250 0.250 0.250
Y 0.750 0.750 0.750
Hg 0.000 0.000 0.000
! **Energy above the lowest structure with this stoichiometry**: 58.7 meV per atom
! **SG**: F-43m, No. 216
! **Spin magnetization**: 0.00 μB per cell